Cr5In after structural relaxation, computed with PBE-GGA.

Values from the calculation:
ρ: 7.48 g/cm3
D(E_F): 5.5 states/eV/f.u.
Total moment: 0.00 μB/f.u.
Total DFT energy (no corrections): -8.045 eV/atom
Energy of formation from the pure elements: 0.431 eV/atom

Cell: 4.891 4.891 4.019 Å, 90.00 90.00 120.00°
Element x y z (fractional)
Cr 0.500 0.500 0.500
In 0.000 0.000 0.000
Cr 0.500 0.000 0.500
Cr 0.667 0.333 0.000
Cr 0.333 0.667 0.000
Cr 0.000 0.500 0.500